# 1
VASP calculation (PBE) on a relaxed Y3HoPu3Se8 crystal.

Computed properties:
As for the symmetry: R-3m, No. 166. Its total moment is 17.389 μB per cell. The formation energy without anion corrections is -1.74 eV per atom. As for the total energy: -8.0613 eV per atom. The density of states at the Fermi level comes out at 32.6 states/eV per cell.

Cell lengths 8.2025, 8.2008, 8.2251 Å; angles 119.89, 90.00, 120.01 degrees
Closest atoms and distances in Å follow each position.
Fractional coordinates of all 15 atoms:
Y 0.5000 0.5000 0.5000  6 Se 2.88-2.89
Ho 0.0000 0.0000 0.5000  6 Se 2.90
Se 0.7470 0.9960 0.7455  2 Y 2.88, 1 Ho 2.90, 2 Pu 2.92-2.93
Se 0.2530 0.0040 0.2545  2 Y 2.88, 1 Ho 2.90, 2 Pu 2.92-2.93
Se 0.2490 0.9960 0.7455  2 Y 2.88, 1 Ho 2.90, 2 Pu 2.92-2.93
Pu 0.0000 0.5000 0.0000  6 Se 2.92-2.93
Se 0.2509 0.5018 0.2530  3 Y 2.89, 3 Pu 2.91-2.92
Se 0.7510 0.0040 0.2545  2 Y 2.88, 1 Ho 2.90, 2 Pu 2.92-2.93
Y 0.0000 0.5000 0.5000  6 Se 2.88-2.89
Se 0.7506 0.5012 0.2546  2 Y 2.88, 1 Ho 2.90, 2 Pu 2.93
Pu 0.0000 0.0000 0.0000  6 Se 2.91-2.92
Y 0.5000 0.0000 0.5000  6 Se 2.88-2.89
Se 0.2494 0.4988 0.7454  2 Y 2.88, 1 Ho 2.90, 2 Pu 2.93
Pu 0.5000 0.5000 0.0000  6 Se 2.92-2.93
Se 0.7491 0.4982 0.7470  3 Y 2.89, 3 Pu 2.91-2.92



# 2
VASP calculation (PBE) on a relaxed YHo3Pu2Se6 crystal.

Computed properties:
As for the symmetry: C2/m, No. 12. Its total moment is 11.798 μB per cell. The formation energy without anion corrections is -1.69 eV per atom. As for the total energy: -7.5082 eV per atom. The density of states at the Fermi level comes out at 18.2 states/eV per cell.

Cell lengths 4.0718, 8.2122, 9.1521 Å; angles 103.26, 102.85, 90.00 degrees
Closest atoms and distances in Å follow each position.
Fractional coordinates of all 12 atoms:
Se 0.9976 0.2507 0.9952  3 Ho 2.86-2.88, 2 Y 2.90, 1 Pu 2.92
Se 0.3331 0.9218 0.6663  3 Ho 2.86-2.87, 1 Y 2.89, 2 Pu 2.92
Pu 0.1659 0.3329 0.3317  6 Se 2.92-2.93
Ho 0.5000 0.5000 0.0000  6 Se 2.87-2.88
Se 0.6654 0.5868 0.3309  3 Ho 2.87, 3 Pu 2.92-2.93
Ho 0.1674 0.8333 0.3349  6 Se 2.86-2.87
Ho 0.8326 0.1667 0.6651  6 Se 2.86-2.87
Pu 0.8341 0.6671 0.6683  6 Se 2.92-2.93
Y 0.5000 0.0000 0.0000  6 Se 2.89-2.90
Se 0.0024 0.7493 0.0048  3 Ho 2.86-2.88, 2 Y 2.90, 1 Pu 2.92
Se 0.3346 0.4132 0.6691  3 Ho 2.87, 3 Pu 2.92-2.93
Se 0.6669 0.0782 0.3337  3 Ho 2.86-2.87, 1 Y 2.89, 2 Pu 2.92



# 3
VASP calculation (PBE) on a relaxed Y2Ho3PuSe6 crystal.

Computed properties:
As for the symmetry: C2/m, No. 12. Its total moment is 6.052 μB per cell. The formation energy without anion corrections is -1.73 eV per atom. As for the total energy: -6.8855 eV per atom. The density of states at the Fermi level comes out at 8.2 states/eV per cell.

Cell lengths 4.0593, 8.1927, 9.1272 Å; angles 103.06, 102.85, 90.00 degrees
Closest atoms and distances in Å follow each position.
Fractional coordinates of all 12 atoms:
Se 0.3326 0.4151 0.6651  3 Ho 2.89-2.90, 3 Y 2.91-2.93
Se 0.6692 0.0828 0.3384  3 Ho 2.86-2.87, 2 Y 2.87, 1 Pu 2.93
Pu 0.5000 0.0000 0.0000  6 Se 2.91-2.93
Y 0.8364 0.6717 0.6728  6 Se 2.85-2.93
Ho 0.1652 0.8354 0.3305  6 Se 2.84-2.89
Se 0.9989 0.2546 0.9978  3 Ho 2.84-2.85, 1 Y 2.85, 2 Pu 2.91
Ho 0.8348 0.1646 0.6695  6 Se 2.84-2.89
Se 0.3308 0.9172 0.6616  3 Ho 2.86-2.87, 2 Y 2.87, 1 Pu 2.93
Se 0.0011 0.7454 0.0022  3 Ho 2.84-2.85, 1 Y 2.85, 2 Pu 2.91
Ho 0.5000 0.5000 0.0000  6 Se 2.85-2.90
Se 0.6674 0.5849 0.3349  3 Ho 2.89-2.90, 3 Y 2.91-2.93
Y 0.1636 0.3283 0.3272  6 Se 2.85-2.93



# 4
VASP calculation (PBE) on a relaxed HoPu2Si crystal.

Computed properties:
As for the symmetry: P4/mmm, No. 123. As for the excess energy over the best structure of this formula in the dataset: 0.00 eV/f.u. Its total moment is 11.445 μB per cell. The formation energy without anion corrections is -0.23 eV per atom. As for the total energy: -9.8980 eV per atom. The density of states at the Fermi level comes out at 9.6 states/eV per cell.

Cell lengths 4.8468, 4.3421, 4.3421 Å; angles 90.00, 90.00, 90.00 degrees
Closest atoms and distances in Å follow each position.
Fractional coordinates of all 4 atoms:
Ho 0.5000 0.5000 0.5000  4 Si 3.07, 8 Pu 3.25
Pu 0.0000 0.5000 0.0000  4 Pu 3.07, 4 Ho 3.25, 4 Si 3.25
Pu 0.0000 0.0000 0.5000  4 Pu 3.07, 4 Ho 3.25, 4 Si 3.25
Si 0.5000 0.0000 0.0000  4 Ho 3.07, 8 Pu 3.25



# 5
VASP calculation (PBE) on a relaxed HoPu2Si crystal.

Computed properties:
As for the symmetry: R-3m, No. 166. As for the excess energy over the best structure of this formula in the dataset: 1.26 eV/f.u. Its total moment is 11.479 μB per cell. The formation energy without anion corrections is 0.08 eV per atom. As for the total energy: -9.5824 eV per atom. The density of states at the Fermi level comes out at 14.1 states/eV per cell.

Cell lengths 3.4392, 3.4392, 10.3420 Å; angles 80.43, 80.43, 60.00 degrees
Closest atoms and distances in Å follow each position.
Fractional coordinates of all 4 atoms:
Pu 0.7354 0.7354 0.7937  3 Si 2.89
Ho 0.5000 0.5000 0.5000  6 Ho 3.44, 6 Pu 3.58
Si 0.0000 0.0000 0.0000  6 Pu 2.89
Pu 0.2646 0.2646 0.2063  3 Si 2.89



# 6
VASP calculation (PBE) on a relaxed HoPuSi4 crystal.

Computed properties:
As for the symmetry: F-43m, No. 216. As for the excess energy over the best structure of this formula in the dataset: 0.95 eV/f.u. Its total moment is 6.503 μB per cell. The formation energy without anion corrections is -0.36 eV per atom. As for the total energy: -7.1249 eV per atom. The density of states at the Fermi level comes out at 5.9 states/eV per cell.

Cell lengths 5.2805, 5.2805, 5.2805 Å; angles 60.00, 60.00, 60.00 degrees
Closest atoms and distances in Å follow each position.
Fractional coordinates of all 6 atoms:
Si 0.1248 0.6251 0.6251  6 Si 2.64
Ho 0.2500 0.2500 0.2500  12 Si 3.10, 4 Pu 3.23
Si 0.6251 0.6251 0.6251  6 Si 2.64
Si 0.6251 0.6251 0.1248  6 Si 2.64
Pu 0.0000 0.0000 0.0000  12 Si 3.10, 4 Ho 3.23
Si 0.6251 0.1248 0.6251  6 Si 2.64



# 7
VASP calculation (PBE) on a relaxed Ho2PuSi crystal.

Computed properties:
As for the symmetry: R-3m, No. 166. As for the excess energy over the best structure of this formula in the dataset: 1.12 eV/f.u. Its total moment is 6.464 μB per cell. The formation energy without anion corrections is 0.09 eV per atom. As for the total energy: -7.1351 eV per atom. The density of states at the Fermi level comes out at 8.8 states/eV per cell.

Cell lengths 3.4826, 3.4826, 10.8222 Å; angles 80.74, 80.74, 60.00 degrees
Closest atoms and distances in Å follow each position.
Fractional coordinates of all 4 atoms:
Ho 0.1040 0.1040 0.6881  3 Si 2.84
Ho 0.8960 0.8960 0.3119  3 Si 2.84
Pu 0.0000 0.0000 0.0000  2 Ho 3.32, 6 Pu 3.48
Si 0.5000 0.5000 0.5000  6 Ho 2.84



# 8
VASP calculation (PBE) on a relaxed HoPuSi crystal.

Computed properties:
As for the symmetry: F-43m, No. 216. As for the excess energy over the best structure of this formula in the dataset: 0.00 eV/f.u. Its total moment is 6.251 μB per cell. The formation energy without anion corrections is -0.21 eV per atom. As for the total energy: -8.3236 eV per atom. The density of states at the Fermi level comes out at 5.7 states/eV per cell.

Cell lengths 4.8366, 4.8366, 4.8366 Å; angles 60.00, 60.00, 60.00 degrees
Closest atoms and distances in Å follow each position.
Fractional coordinates of all 3 atoms:
Ho 0.0000 0.0000 0.0000  4 Si 2.96
Pu 0.5000 0.5000 0.5000  4 Si 2.96
Si 0.2500 0.2500 0.2500  4 Pu 2.96, 4 Ho 2.96



# 9
VASP calculation (PBE) on a relaxed HoPuSi3 crystal.

Computed properties:
As for the symmetry: Cmcm, No. 63. Its total moment is 10.600 μB per cell. The formation energy without anion corrections is -0.60 eV per atom. As for the total energy: -7.6320 eV per atom. The density of states at the Fermi level comes out at 19.3 states/eV per cell.

Cell lengths 3.9330, 4.1054, 12.4279 Å; angles 99.51, 90.00, 90.00 degrees
Closest atoms and distances in Å follow each position.
Fractional coordinates of all 10 atoms:
Ho 0.2500 0.7969 0.5938  7 Si 2.91-2.96
Ho 0.7500 0.2031 0.4062  7 Si 2.91-2.96
Si 0.2500 0.3813 0.7625  3 Si 2.31-2.42
Si 0.7500 0.3239 0.6477  2 Si 2.42
Pu 0.7500 0.9290 0.8579  12 Si 3.06-3.29
Pu 0.2500 0.0710 0.1421  12 Si 3.06-3.29
Si 0.2500 0.6761 0.3523  2 Si 2.42
Si 0.2500 0.4755 0.9510  3 Si 2.30-2.31
Si 0.7500 0.6187 0.2375  3 Si 2.31-2.42
Si 0.7500 0.5245 0.0490  3 Si 2.30-2.31



# 10
VASP calculation (PBE) on a relaxed HoPuSi crystal.

Computed properties:
As for the symmetry: Pmmm, No. 47. As for the excess energy over the best structure of this formula in the dataset: 0.59 eV/f.u. Its total moment is 12.403 μB per cell. The formation energy without anion corrections is -0.01 eV per atom. As for the total energy: -8.1254 eV per atom. The density of states at the Fermi level comes out at 12.7 states/eV per cell.

Cell lengths 4.7217, 3.2777, 9.1500 Å; angles 90.00, 90.00, 90.00 degrees
Closest atoms and distances in Å follow each position.
Fractional coordinates of all 6 atoms:
Si 0.0000 0.5000 0.3570  1 Si 2.62, 2 Pu 2.90
Si 0.0000 0.5000 0.6430  1 Si 2.62, 2 Pu 2.90
Ho 0.0000 0.0000 0.0000  2 Ho 3.28, 8 Pu 3.28, 4 Si 3.65
Pu 0.5000 0.5000 0.1726  2 Si 2.90, 1 Pu 3.16
Pu 0.5000 0.5000 0.8274  2 Si 2.90, 1 Pu 3.16
Ho 0.5000 0.0000 0.5000  8 Si 3.16, 2 Ho 3.28, 4 Pu 3.41